Record 1
DFT (PBE) results for crystalline NbIr at its relaxed geometry.

Cell: 7.1039 7.1039 7.1039 Å, 90.00 90.00 90.00°
Fractional positions:
Ir  0.0000  0.2500  0.5000
Ir  0.2500  0.5000  0.0000
Nb  0.7500  0.0000  0.5000
Nb  0.2500  0.0000  0.5000
Nb  0.0000  0.5000  0.7500
Ir  0.5000  0.0000  0.2500
Nb  0.0000  0.5000  0.2500
Nb  0.5000  0.2500  0.0000
Ir  0.7500  0.5000  0.0000
Nb  0.5000  0.7500  0.0000
Ir  0.0000  0.7500  0.5000
Ir  0.5000  0.0000  0.7500

Calculated values
magnetic moment	0.0	Bohr magnetons per cell
formation enthalpy at 0 K	1.892	eV per formula unit
crystal system	cubic

=====

Record 2
DFT (PBE) results for crystalline Nb3Ir2 at its relaxed geometry.

Cell: 5.1109 9.9074 9.9074 Å, 90.11 90.00 90.00°
Fractional positions:
Nb  0.0034  0.4643  0.1291
Ir  0.9957  0.7363  0.0717
Nb  0.4978  0.6266  0.0410
Ir  0.5149  0.5000  0.5000
Ir  0.4994  0.7633  0.5685
Nb  0.7499  0.3239  0.6761
Ir  0.4994  0.4315  0.2367
Ir  0.9957  0.2637  0.9283
Ir  0.4994  0.2367  0.4315
Nb  0.4978  0.9590  0.3734
Nb  0.7466  0.1800  0.1800
Nb  0.7466  0.8200  0.8200
Nb  0.2517  0.8222  0.8222
Nb  0.0086  0.6045  0.6045
Ir  0.2483  0.6812  0.3188
Nb  0.7499  0.6761  0.3239
Nb  0.2517  0.1778  0.1778
Nb  0.0034  0.5357  0.8709
Ir  0.2483  0.3188  0.6812
Nb  0.4971  0.8934  0.1066
Nb  0.0086  0.3955  0.3955
Nb  0.4971  0.1066  0.8934
Nb  0.0034  0.8709  0.5357
Ir  0.4994  0.5685  0.7633
Nb  0.0034  0.1291  0.4643
Ir  0.9959  0.0000  0.0000
Nb  0.4978  0.3734  0.9590
Ir  0.9957  0.0717  0.7363
Ir  0.9957  0.9283  0.2637
Nb  0.4978  0.0410  0.6266

Calculated values
magnetic moment	0.0	Bohr magnetons per cell
formation enthalpy at 0 K	-2.331	eV per formula unit
crystal system	orthorhombic

=====

Record 3
DFT (PBE) results for crystalline NbIr at its relaxed geometry.

Cell: 2.7957 4.6603 5.0367 Å, 90.00 89.99 90.00°
Fractional positions:
Nb  0.7503  0.2500  0.8755
Nb  0.2497  0.7500  0.1245
Ir  0.7499  0.7500  0.6107
Ir  0.2501  0.2500  0.3893

Calculated values
magnetic moment	0.0	Bohr magnetons per cell
formation enthalpy at 0 K	-0.513	eV per formula unit
crystal system	orthorhombic

=====

Record 4
DFT (PBE) results for crystalline NbIr at its relaxed geometry.

Cell: 5.7906 5.7906 5.7906 Å, 90.00 90.00 90.00°
Fractional positions:
Nb  0.2500  0.2500  0.2500
Ir  0.5000  0.0000  0.5000
Ir  0.5000  0.5000  0.0000
Ir  0.0000  0.0000  0.0000
Nb  0.7500  0.7500  0.2500
Nb  0.2500  0.7500  0.7500
Ir  0.0000  0.5000  0.5000
Nb  0.7500  0.2500  0.7500

Calculated values
magnetic moment	0.0	Bohr magnetons per cell
formation enthalpy at 0 K	1.179	eV per formula unit
crystal system	cubic

=====

Record 5
DFT (PBE) results for crystalline Nb5Ir7 at its relaxed geometry.

Cell: 2.8381 4.8653 13.7937 Å, 90.00 90.00 90.00°
Fractional positions:
Ir  0.5000  0.8281  0.8304
Ir  0.5000  0.8281  0.1696
Nb  0.0000  0.6887  0.6602
Nb  0.0000  0.3314  0.1661
Ir  0.5000  0.1761  0.6634
Ir  0.5000  0.1761  0.3366
Nb  0.0000  0.6887  0.3398
Ir  0.5000  0.5074  0.5000
Nb  0.0000  0.9576  0.0000
Ir  0.0000  0.0202  0.5000
Ir  0.5000  0.4662  0.0000
Nb  0.0000  0.3314  0.8339

Calculated values
magnetic moment	0.0	Bohr magnetons per cell
formation enthalpy at 0 K	-5.667	eV per formula unit
crystal system	orthorhombic

=====

Record 6
DFT (PBE) results for crystalline NbIr at its relaxed geometry.

Cell: 7.4943 7.4943 4.4908 Å, 90.00 90.00 120.00°
Fractional positions:
Nb  0.5482  0.6333  0.7500
Nb  0.3667  0.9150  0.7500
Nb  0.6333  0.0850  0.2500
Ir  0.0434  0.2448  0.2500
Ir  0.2014  0.9566  0.2500
Ir  0.7552  0.7986  0.2500
Nb  0.4518  0.3667  0.2500
Ir  0.2448  0.2014  0.7500
Nb  0.0850  0.4518  0.7500
Ir  0.7986  0.0434  0.7500
Ir  0.9566  0.7552  0.7500
Nb  0.9150  0.5482  0.2500

Calculated values
magnetic moment	0.0	Bohr magnetons per cell
formation enthalpy at 0 K	0.015	eV per formula unit
crystal system	hexagonal

=====

Record 7
DFT (PBE) results for crystalline NbIr at its relaxed geometry.

Cell: 2.8420 4.6355 4.9291 Å, 90.00 90.00 90.00°
Fractional positions:
Ir  0.5000  0.7500  0.3135
Nb  0.0000  0.7500  0.8070
Nb  0.0000  0.2500  0.1930
Ir  0.5000  0.2500  0.6865

Calculated values
magnetic moment	0.0	Bohr magnetons per cell
formation enthalpy at 0 K	-0.987	eV per formula unit
crystal system	orthorhombic

=====

Record 8
DFT (PBE) results for crystalline NbIr3 at its relaxed geometry.

Cell: 3.9283 3.9280 3.9281 Å, 90.00 90.00 90.00°
Fractional positions:
Ir  0.0000  0.5000  0.5833
Nb  0.5000  0.0000  0.5834
Ir  0.5000  0.5000  0.0833
Ir  0.0000  0.0000  0.0833

Calculated values
magnetic moment	0.0	Bohr magnetons per cell
formation enthalpy at 0 K	-2.371	eV per formula unit
crystal system	cubic

=====

Record 9
DFT (PBE) results for crystalline NbIr at its relaxed geometry.

Cell: 2.8243 4.8278 5.1063 Å, 90.00 90.00 90.00°
Fractional positions:
Nb  0.0000  0.5000  0.0000
Ir  0.0000  0.5000  0.5000
Ir  0.5000  0.0000  0.0000
Nb  0.5000  0.0000  0.5000

Calculated values
magnetic moment	0.0	Bohr magnetons per cell
formation enthalpy at 0 K	-0.074	eV per formula unit
crystal system	orthorhombic

=====

Record 10
DFT (PBE) results for crystalline NbIr at its relaxed geometry.

Cell: 5.2613 5.2613 5.2537 Å, 90.00 90.00 90.00°
Fractional positions:
Ir  0.7944  0.7944  0.0000
Nb  0.2906  0.7094  0.0000
Nb  0.2094  0.2094  0.5000
Nb  0.7906  0.7906  0.5000
Nb  0.7094  0.2906  0.0000
Ir  0.2944  0.7056  0.5000
Ir  0.2056  0.2056  0.0000
Ir  0.7056  0.2944  0.5000

Calculated values
magnetic moment	0.0	Bohr magnetons per cell
formation enthalpy at 0 K	0.105	eV per formula unit
crystal system	tetragonal

=====

Record 11
DFT (PBE) results for crystalline NdNbIr at its relaxed geometry.

Cell: 4.5923 4.5923 6.6833 Å, 90.00 90.00 90.00°
Fractional positions:
Nd  0.0000  0.5000  0.8682
Ir  0.0000  0.5000  0.3159
Nb  0.5000  0.5000  0.5000
Nd  0.5000  0.0000  0.1318
Ir  0.5000  0.0000  0.6841
Nb  0.0000  0.0000  0.5000

Calculated values
magnetic moment	0.0	Bohr magnetons per cell
formation enthalpy at 0 K	-1.379	eV per formula unit
crystal system	tetragonal

=====

Record 12
DFT (PBE) results for crystalline NdNbIr2 at its relaxed geometry.

Cell: 3.1843 3.1843 7.5975 Å, 90.00 90.00 90.00°
Fractional positions:
Nd  0.5000  0.5000  0.5000
Ir  0.0000  0.0000  0.2010
Nb  0.5000  0.5000  0.0000
Ir  0.0000  0.0000  0.7990

Calculated values
magnetic moment	0.0	Bohr magnetons per cell
formation enthalpy at 0 K	-1.816	eV per formula unit
crystal system	tetragonal